Record 1
{"formula": "Li7Cu2N3", "functional": "PBE", "state": "relaxed", "cell": [[3.1974, 1.8460, 3.7221], [-3.1974, 1.8460, 3.7221], [0.0000, -3.6920, 3.7221]], "species": ["Li", "Li", "Li", "Li", "Li", "Li", "Li", "Cu", "Cu", "N", "N", "N"], "frac_coords": [[0.0000, 0.0000, 0.0000], [0.1660, 0.5000, 0.8340], [0.1660, 0.8340, 0.5000], [0.5000, 0.1660, 0.8340], [0.5000, 0.8340, 0.1660], [0.8340, 0.1660, 0.5000], [0.8340, 0.5000, 0.1660], [0.3336, 0.3336, 0.3336], [0.6664, 0.6664, 0.6664], [0.1676, 0.1676, 0.1676], [0.5000, 0.5000, 0.5000], [0.8324, 0.8324, 0.8324]], "formation_energy_uncorrected_ev_per_atom": -0.326, "total_energy_ev_per_atom": -4.21, "sg": "R-3m (166)", "magmom_total_mub_per_cell": 0.00}

Record 2
{"formula": "BaHf2Sn2", "functional": "PBE", "state": "relaxed", "cell": [[-2.3503, 2.3503, 6.7414], [2.3503, -2.3503, 6.7414], [2.3503, 2.3503, -6.7414]], "species": ["Ba", "Hf", "Hf", "Sn", "Sn"], "frac_coords": [[0.0000, 0.0000, 0.0000], [0.2500, 0.7500, 0.5000], [0.7500, 0.2500, 0.5000], [0.3803, 0.3803, 0.0000], [0.6197, 0.6197, 0.0000]], "polymorph_energy_ev_per_atom": 0.000, "total_energy_ev_per_atom": -6.25, "e_form_ev_per_atom": -0.29, "sg": "I4/mmm (139)", "magmom_total_mub_per_cell": 0.00}

Record 3
{"formula": "DyGa2Pd5", "functional": "PBE", "state": "relaxed", "cell": [[-1.9161, 3.5531, 5.1259], [1.9161, -3.5531, 5.1259], [1.9161, 3.5531, -5.1259]], "species": ["Dy", "Ga", "Ga", "Pd", "Pd", "Pd", "Pd", "Pd"], "frac_coords": [[0.0000, 0.0000, 0.0000], [0.2576, 0.7576, 0.5000], [0.7424, 0.2424, 0.5000], [0.1580, 0.3614, 0.7966], [0.4351, 0.6386, 0.7966], [0.5000, 0.0000, 0.5000], [0.5649, 0.3614, 0.2034], [0.8420, 0.6386, 0.2034]], "total_energy_ev_per_atom": -5.26, "e_form_ev_per_atom": -0.68, "sg": "Immm (71)", "magmom_total_mub_per_cell": 0.00}

Record 4
{"formula": "MnTePb2", "functional": "PBE", "state": "relaxed", "cell": [[-3.1746, 3.1746, 7.4024], [3.1746, -3.1746, 7.4024], [3.1746, 3.1746, -7.4024]], "species": ["Mn", "Mn", "Te", "Te", "Pb", "Pb", "Pb", "Pb"], "frac_coords": [[0.0000, 0.0000, 0.0000], [0.7500, 0.2500, 0.5000], [0.2500, 0.7500, 0.5000], [0.5000, 0.5000, 0.0000], [0.0704, 0.6250, 0.9454], [0.3750, 0.3204, 0.4454], [0.6796, 0.1250, 0.0546], [0.8750, 0.9296, 0.5546]], "formation_energy_uncorrected_ev_per_atom": 0.425, "total_energy_ev_per_atom": -4.51, "sg": "I-42d (122)", "magmom_total_mub_per_cell": 7.54}

Record 5
{"formula": "Nd2TmBi3", "functional": "PBE", "state": "relaxed", "cell": [[3.9439, -6.8342, 0.0000], [3.9439, 6.8342, 0.0000], [-2.6331, 0.0000, 7.4268]], "species": ["Nd", "Nd", "Nd", "Nd", "Tm", "Tm", "Bi", "Bi", "Bi", "Bi", "Bi", "Bi"], "frac_coords": [[0.0000, 0.0000, 0.0000], [0.1637, 0.8363, 0.5000], [0.5000, 0.5000, 0.5000], [0.8363, 0.1637, 0.5000], [0.3321, 0.6679, 0.0000], [0.6679, 0.3321, 0.0000], [0.0813, 0.4211, 0.2431], [0.2607, 0.2607, 0.7604], [0.4211, 0.0813, 0.2431], [0.5789, 0.9187, 0.7569], [0.7393, 0.7393, 0.2396], [0.9187, 0.5789, 0.7569]], "polymorph_energy_ev_per_atom": 0.000, "total_energy_ev_per_atom": -5.16, "e_form_ev_per_atom": -0.89, "sg": "C2/m (12)", "magmom_total_mub_per_cell": 0.00}

Record 6
{"formula": "YZrIr", "functional": "PBE", "state": "relaxed", "cell": [[4.0112, 0.0000, 0.0000], [-2.0056, 3.4738, 0.0000], [0.0000, 0.0000, 5.7184]], "species": ["Y", "Zr", "Ir"], "frac_coords": [[0.0000, 0.0000, 0.0000], [0.3333, 0.6667, 0.5087], [0.6667, 0.3333, 0.7171]], "polymorph_energy_ev_per_atom": 0.353, "total_energy_ev_per_atom": -8.29, "e_form_ev_per_atom": -0.34, "sg": "P3m1 (156)", "magmom_total_mub_per_cell": 0.00}

Record 7
{"formula": "TcPbBr2", "functional": "PBE", "state": "relaxed", "cell": [[-1.6560, 2.4456, 7.0799], [1.6560, -2.4456, 7.0799], [1.6560, 2.4456, -7.0799]], "species": ["Tc", "Pb", "Br", "Br"], "frac_coords": [[0.0000, 0.0000, 0.0000], [0.5000, 0.5000, 0.0000], [0.1474, 0.6474, 0.5000], [0.8526, 0.3526, 0.5000]], "formation_energy_uncorrected_ev_per_atom": 0.111, "polymorph_energy_ev_per_atom": 0.094, "total_energy_ev_per_atom": -4.24, "sg": "Immm (71)", "magmom_total_mub_per_cell": 0.00}

Record 8
{"formula": "Zn3CoSe", "functional": "PBE", "state": "relaxed", "cell": [[4.9147, 0.0000, 0.0000], [0.0000, 4.9147, 0.0000], [0.0000, 0.0000, 4.9147]], "species": ["Zn", "Zn", "Zn", "Co", "Se"], "frac_coords": [[0.0000, 0.0000, 0.5000], [0.0000, 0.5000, 0.0000], [0.5000, 0.0000, 0.0000], [0.5000, 0.5000, 0.5000], [0.0000, 0.0000, 0.0000]], "formation_energy_uncorrected_ev_per_atom": 0.961, "polymorph_energy_ev_per_atom": 0.483, "total_energy_ev_per_atom": -1.92, "sg": "Pm-3m (221)", "magmom_total_mub_per_cell": 2.05}

Record 9
{"formula": "La8Pt3RhI4", "functional": "PBE", "state": "relaxed", "cell": [[7.4668, -4.3119, 0.0000], [7.4668, 4.3119, 0.0000], [-4.9834, 0.0000, 8.2404]], "species": ["La", "La", "La", "La", "La", "La", "La", "La", "Pt", "Pt", "Pt", "Rh", "I", "I", "I", "I"], "frac_coords": [[0.2267, 0.2267, 0.6876], [0.2269, 0.7341, 0.6876], [0.2659, 0.7731, 0.3124], [0.2708, 0.2708, 0.3127], [0.7292, 0.7292, 0.6873], [0.7341, 0.2269, 0.6876], [0.7731, 0.2659, 0.3124], [0.7733, 0.7733, 0.3124], [0.0000, 0.5000, 0.5000], [0.5000, 0.0000, 0.5000], [0.5000, 0.5000, 0.5000], [0.0000, 0.0000, 0.5000], [0.0000, 0.0000, 0.0000], [0.0000, 0.5000, 0.0000], [0.5000, 0.0000, 0.0000], [0.5000, 0.5000, 0.0000]], "formation_energy_uncorrected_ev_per_atom": -1.182, "total_energy_ev_per_atom": -5.63, "sg": "C2/m (12)", "magmom_total_mub_per_cell": 0.00}

Record 10
{"formula": "Ge2IrPd", "functional": "PBE", "state": "relaxed", "cell": [[-2.8234, 2.8234, 5.4770], [2.8234, -2.8234, 5.4770], [2.8234, 2.8234, -5.4770]], "species": ["Ge", "Ge", "Ge", "Ge", "Ir", "Ir", "Pd", "Pd"], "frac_coords": [[0.1141, 0.6250, 0.9891], [0.3750, 0.3641, 0.4891], [0.6359, 0.1250, 0.0109], [0.8750, 0.8859, 0.5109], [0.0000, 0.0000, 0.0000], [0.7500, 0.2500, 0.5000], [0.2500, 0.7500, 0.5000], [0.5000, 0.5000, 0.0000]], "total_energy_ev_per_atom": -5.79, "e_form_ev_per_atom": 0.04, "sg": "I-42d (122)", "magmom_total_mub_per_cell": 0.00}

Record 11
{"formula": "HgSbTe2", "functional": "PBE", "state": "relaxed", "cell": [[3.1919, 0.0000, 0.0000], [0.0000, 4.3985, 0.0000], [-0.4658, 0.0000, 9.0120]], "species": ["Hg", "Sb", "Te", "Te"], "frac_coords": [[0.0000, 0.0000, 0.0000], [0.0000, 0.0000, 0.5000], [0.0271, 0.5000, 0.7405], [0.9729, 0.5000, 0.2595]], "formation_energy_uncorrected_ev_per_atom": -0.050, "polymorph_energy_ev_per_atom": 0.030, "total_energy_ev_per_atom": -2.73, "sg": "P2/m (10)", "magmom_total_mub_per_cell": 0.00}

Record 12
{"formula": "Ti2FeHgH", "functional": "PBE", "state": "relaxed", "cell": [[4.2085, 0.0000, 0.0000], [0.0000, 4.2085, 0.0000], [0.0000, 0.0000, 3.7354]], "species": ["Ti", "Ti", "Fe", "Hg", "H"], "frac_coords": [[0.0000, 0.5000, 0.0000], [0.5000, 0.0000, 0.0000], [0.0000, 0.0000, 0.5000], [0.5000, 0.5000, 0.5000], [0.0000, 0.0000, 0.0000]], "total_energy_ev_per_atom": -5.69, "sg": "P4/mmm (123)", "magmom_total_mub_per_cell": 1.15}